Entry 1:
Entry from the Alexandria database: an optimized crystal structure of Pm5Er2TmSc (GGA-PBE).

Values from the calculation:
Total magnetization   0.0 μB per formula unit
DOS at the Fermi energy   13.1 states/eV/f.u.
Final energy   -4.726 eV/atom
DFT formation energy   128 meV per atom

abc: 5.3289 21.7330 10.1782
angles: 90.00 90.00 90.00
With the nearest neighbours (Å) after each atom.
Space group Cmc2_1 (No. 36)
Inequivalent atoms, fractional coordinates:
Pm: 0.0000 0.9999 0.0000 x4  2 Tm 3.36, 4 Er 3.66, 6 Pm 3.68-3.75
Pm: 0.0000 0.1265 0.2501 x4  1 Sc 3.48, 4 Er 3.71, 6 Pm 3.74-3.82
Pm: 0.0000 0.2210 0.5624 x4  2 Pm 3.21, 1 Tm 3.23, 3 Sc 3.28-3.48, 2 Er 3.57
Pm: 0.0000 0.2206 0.9385 x4  2 Pm 3.21, 1 Tm 3.23, 3 Sc 3.28-3.48, 2 Er 3.56
Pm: 0.0000 0.4994 0.7500 x4  2 Tm 3.46, 4 Er 3.57-3.58, 6 Pm 3.68-3.82
Er: 0.0000 0.3844 0.0022 x4  1 Sc 3.30, 7 Pm 3.57-3.66, 2 Tm 3.68
Er: 0.0000 0.3847 0.4979 x4  1 Sc 3.30, 7 Pm 3.56-3.66, 2 Tm 3.68
Tm: 0.0000 0.1011 0.7500 x4  6 Pm 3.23-3.46, 2 Sc 3.61
Sc: 0.0000 0.2865 0.2504 x4  7 Pm 3.28-3.48, 2 Er 3.30, 2 Tm 3.61

Entry 2:
Entry from the Alexandria database: an optimized crystal structure of LaGdZnSb (GGA-PBE).

Values from the calculation:
Total magnetization   7.5 μB per formula unit
DOS at the Fermi energy   4.2 states/eV/f.u.
Final energy   -6.708 eV/atom
Formation energy without anion corrections   -0.6072 eV/atom

abc: 7.5761 7.5761 7.5761
angles: 90.00 90.00 90.00
With the nearest neighbours (Å) after each atom.
Space group F-43m (No. 216)
Inequivalent atoms, fractional coordinates:
La: 0.0000 0.0000 0.0000 x4  4 Sb 3.28, 4 Zn 3.28
Gd: 0.0000 0.0000 0.5000 x4  4 Sb 3.28, 4 Zn 3.28
Zn: 0.2500 0.2500 0.2500 x4  4 Gd 3.28, 4 La 3.28
Sb: 0.2500 0.2500 0.7500 x4  4 Gd 3.28, 4 La 3.28

Entry 3:
Entry from the Alexandria database: an optimized crystal structure of Nd7Ni2Sn2 (GGA-PBE).

Values from the calculation:
Total magnetization   0.0 μB per formula unit
DOS at the Fermi energy   12.4 states/eV/f.u.
Final energy   -5.091 eV/atom
DFT formation energy   -278 meV per atom

abc: 8.1671 11.5208 7.0732
angles: 90.00 90.00 90.00
With the nearest neighbours (Å) after each atom.
Space group Cmmm (No. 65)
Inequivalent atoms, fractional coordinates:
Nd: 0.0000 0.0000 0.0000 x2  2 Ni 3.29
Nd: 0.0000 0.5000 0.2315 x4  2 Ni 2.96, 2 Sn 3.25, 1 Nd 3.27
Nd: 0.2500 0.2500 0.2506 x8  2 Ni 2.74
Ni: 0.0000 0.2858 0.0000 x4  6 Nd 2.74-2.96
Sn: 0.1764 0.0000 0.5000 x4  1 Sn 2.88

Entry 4:
Entry from the Alexandria database: an optimized crystal structure of Hf2GeAu (GGA-PBE).

Values from the calculation:
Total magnetization   0.0 μB per formula unit
DOS at the Fermi energy   2.3 states/eV/f.u.
Final energy   -7.343 eV/atom
DFT formation energy   -393 meV per atom

abc: 3.6798 3.6798 21.3691
angles: 90.00 90.00 120.00
With the nearest neighbours (Å) after each atom.
Space group R-3m (No. 166, hexagonal axes)
Inequivalent atoms, fractional coordinates:
Hf: 0.0000 0.0000 0.2427 x6  3 Ge 2.67, 3 Au 2.87
Ge: 0.0000 0.0000 0.5000 x3  6 Hf 2.67
Au: 0.0000 0.0000 0.0000 x3  6 Hf 2.87

Entry 5:
Entry from the Alexandria database: an optimized crystal structure of AcLa2NdPt4 (GGA-PBE).

Values from the calculation:
Total magnetization   0.0 μB per formula unit
DOS at the Fermi energy   4.2 states/eV/f.u.
Final energy   -6.494 eV/atom
DFT formation energy   -1132 meV per atom

abc: 8.5563 12.0762 8.5565
angles: 90.00 90.00 90.00
With the nearest neighbours (Å) after each atom.
Space group Fmm2 (No. 42)
Inequivalent atoms, fractional coordinates:
Ac: 0.0000 0.0000 0.0000 x4  6 Pt 3.02-3.08
La: 0.2500 0.2500 0.2506 x8  6 Pt 3.02-3.03
Nd: 0.0000 0.0000 0.5001 x4  6 Pt 2.96-3.03
Pt: 0.0000 0.2448 0.5006 x8  1 Nd 2.96, 4 La 3.03, 1 Ac 3.08
Pt: 0.2499 0.0000 0.2501 x8  2 La 3.02, 2 Ac 3.02-3.03, 2 Nd 3.03

Entry 6:
Entry from the Alexandria database: an optimized crystal structure of Mn3Rh5 (GGA-PBE).

Values from the calculation:
Total magnetization   11.0 μB per formula unit
DOS at the Fermi energy   11.4 states/eV/f.u.
Final energy   -7.950 eV/atom
DFT formation energy   83 meV per atom

abc: 7.2253 7.2253 5.0841
angles: 90.00 90.00 120.00
With the nearest neighbours (Å) after each atom.
Space group P6_3/mcm (No. 193)
Inequivalent atoms, fractional coordinates:
Mn: 0.0000 0.3996 0.2500 x6  9 Rh 2.51-2.80
Rh: 0.0000 0.2374 0.7500 x6  5 Mn 2.51-2.80
Rh: 0.3333 0.6667 0.0000 x4  2 Rh 2.54, 6 Mn 2.55

Entry 7:
Entry from the Alexandria database: an optimized crystal structure of Nd6MgOs2 (GGA-PBE).

Values from the calculation:
Total magnetization   0.0 μB per formula unit
DOS at the Fermi energy   8.4 states/eV/f.u.
Final energy   -5.947 eV/atom
DFT formation energy   -95 meV per atom

abc: 9.8166 9.9512 10.7090
angles: 90.00 90.00 90.00
With the nearest neighbours (Å) after each atom.
Space group Immm (No. 71)
Inequivalent atoms, fractional coordinates:
Nd: 0.0000 0.2059 0.2409 x8  1 Os 2.81
Nd: 0.1843 0.5000 0.1743 x8  3 Os 2.88-3.17
Nd: 0.2207 0.3155 0.5000 x8  3 Os 3.05-3.10, 1 Mg 3.30
Mg: 0.0000 0.0000 0.0000 x2  2 Os 3.17, 8 Nd 3.29-3.30
Mg: 0.0000 0.0000 0.5000 x2  12 Nd 3.45-3.81
Os: 0.0000 0.3183 0.0000 x4  4 Nd 2.81-3.05
Os: 0.0000 0.5000 0.3834 x4  1 Os 2.50

Entry 8:
Entry from the Alexandria database: an optimized crystal structure of CdAgMo2 (GGA-PBE).

Values from the calculation:
Total magnetization   0.0 μB per formula unit
DOS at the Fermi energy   1.8 states/eV/f.u.
Final energy   -5.997 eV/atom
DFT formation energy   360 meV per atom

abc: 2.8316 2.8316 29.9643
angles: 90.00 90.00 120.00
With the nearest neighbours (Å) after each atom.
Space group R3m (No. 160, hexagonal axes)
Inequivalent atoms, fractional coordinates:
Cd: 0.0000 0.0000 0.0000 x3  6 Cd 2.83, 3 Ag 3.03, 3 Mo 3.05
Ag: 0.0000 0.0000 0.7518 x3  6 Ag 2.83, 3 Mo 2.96, 3 Cd 3.03
Mo: 0.0000 0.0000 0.2472 x3  9 Mo 2.83-2.89, 3 Cd 3.05
Mo: 0.0000 0.0000 0.5010 x3  9 Mo 2.83-2.89, 3 Ag 2.96

Entry 9:
Entry from the Alexandria database: an optimized crystal structure of VGeRuRh (GGA-PBE).

Values from the calculation:
Total magnetization   0.5 μB per formula unit
DOS at the Fermi energy   3.7 states/eV/f.u.
Final energy   -7.978 eV/atom
DFT formation energy   -387 meV per atom

abc: 3.9972 3.9972 6.9447
angles: 90.00 90.00 90.00
With the nearest neighbours (Å) after each atom.
Space group I-4m2 (No. 119)
Inequivalent atoms, fractional coordinates:
V: 0.0000 0.0000 0.0000 x2  4 Ru 2.65, 4 Rh 2.65, 4 Ge 2.83
Ge: 0.0000 0.0000 0.5000 x2  4 Ru 2.65, 4 Rh 2.65, 4 V 2.83
Ru: 0.0000 0.5000 0.7500 x2  4 Ge 2.65, 4 V 2.65, 4 Rh 2.83
Rh: 0.0000 0.5000 0.2500 x2  4 Ge 2.65, 4 V 2.65, 4 Ru 2.83

Entry 10:
Entry from the Alexandria database: an optimized crystal structure of KMnSi2Os (GGA-PBE).

Values from the calculation:
Total magnetization   4.3 μB per formula unit
DOS at the Fermi energy   5.0 states/eV/f.u.
Final energy   -4.945 eV/atom
Formation energy without anion corrections   1.5234 eV/atom

abc: 4.4854 4.4854 5.0857
angles: 90.00 90.00 90.00
With the nearest neighbours (Å) after each atom.
Space group P4/mmm (No. 123)
Inequivalent atoms, fractional coordinates:
K: 0.0000 0.0000 0.0000 x1  2 Mn 2.54
Mn: 0.0000 0.0000 0.5000 x1  4 Si 2.24
Si: 0.0000 0.5000 0.5000 x2  2 Mn 2.24
Os: 0.5000 0.5000 0.0000 x1  4 K 3.17, 8 Si 3.39

Entry 11:
Entry from the Alexandria database: an optimized crystal structure of VRhW2 (GGA-PBE).

Values from the calculation:
Total magnetization   0.0 μB per formula unit
DOS at the Fermi energy   4.7 states/eV/f.u.
Final energy   -10.443 eV/atom
DFT formation energy   151 meV per atom
ΔE to the lowest computed polymorph   0.094 eV/atom

abc: 6.2206 6.2206 6.2206
angles: 90.00 90.00 90.00
With the nearest neighbours (Å) after each atom.
Space group Fm-3m (No. 225)
Inequivalent atoms, fractional coordinates:
V: 0.0000 0.0000 0.0000 x4  8 W 2.69
Rh: 0.0000 0.0000 0.5000 x4  8 W 2.69
W: 0.2500 0.2500 0.2500 x8  4 Rh 2.69, 4 V 2.69

Entry 12:
Entry from the Alexandria database: an optimized crystal structure of Li2FeHg (GGA-PBE).

Values from the calculation:
Total magnetization   2.7 μB per formula unit
DOS at the Fermi energy   3.1 states/eV/f.u.
Final energy   -2.995 eV/atom
DFT formation energy   153 meV per atom

abc: 9.3964 2.8885 4.8571
angles: 90.00 101.76 90.00
With the nearest neighbours (Å) after each atom.
Space group Cm (No. 8)
Inequivalent atoms, fractional coordinates:
Li: 0.0000 0.0000 0.0000 x2  5 Li 2.75-2.89, 3 Hg 2.81-2.94, 4 Fe 2.82-2.83
Li: 0.2416 0.0000 0.7617 x2  5 Li 2.75-2.89, 4 Hg 2.81-2.85, 3 Fe 2.81-2.93
Fe: 0.4948 0.0000 0.4961 x2  3 Hg 2.78-2.80, 7 Li 2.81-2.93, 2 Fe 2.89
Hg: 0.2460 0.5000 0.2684 x2  3 Fe 2.78-2.80, 7 Li 2.81-2.94, 2 Hg 2.89

Entry 13:
Entry from the Alexandria database: an optimized crystal structure of Ca2AcCu6 (GGA-PBE).

Values from the calculation:
Total magnetization   0.0 μB per formula unit
DOS at the Fermi energy   6.3 states/eV/f.u.
Final energy   -3.762 eV/atom
DFT formation energy   -130 meV per atom

abc: 7.4174 7.4174 3.9665
angles: 90.00 90.00 120.00
With the nearest neighbours (Å) after each atom.
Space group P6/mmm (No. 191)
Inequivalent atoms, fractional coordinates:
Ca: 0.3333 0.6667 0.0000 x2  12 Cu 3.16
Ac: 0.0000 0.0000 0.0000 x1  12 Cu 3.19
Cu: 0.0000 0.3362 0.5000 x6  3 Cu 2.43-2.49

Entry 14:
Entry from the Alexandria database: an optimized crystal structure of SrLi2Si (GGA-PBE).

Values from the calculation:
Total magnetization   0.2 μB per formula unit
DOS at the Fermi energy   2.0 states/eV/f.u.
Final energy   -2.780 eV/atom
Formation energy without anion corrections   -0.0470 eV/atom

abc: 3.7174 4.8171 5.4713
angles: 90.00 95.39 90.00
With the nearest neighbours (Å) after each atom.
Space group P2/m (No. 10)
Inequivalent atoms, fractional coordinates:
Sr: 0.0000 0.0000 0.0000 x1  4 Si 3.16-3.45, 4 Li 3.28
Li: 0.3147 0.5000 0.6718 x2  1 Li 2.43, 2 Si 2.70
Si: 0.5000 0.0000 0.5000 x1  4 Li 2.70

Entry 15:
Entry from the Alexandria database: an optimized crystal structure of LiPrScTc (GGA-PBE).

Values from the calculation:
Total magnetization   0.0 μB per formula unit
DOS at the Fermi energy   4.7 states/eV/f.u.
Final energy   -5.809 eV/atom
DFT formation energy   39 meV per atom

abc: 6.9159 6.9159 6.9159
angles: 90.00 90.00 90.00
With the nearest neighbours (Å) after each atom.
Space group F-43m (No. 216)
Inequivalent atoms, fractional coordinates:
Li: 0.0000 0.0000 0.0000 x4  4 Pr 2.99, 4 Sc 2.99
Pr: 0.2500 0.2500 0.2500 x4  4 Li 2.99, 4 Tc 2.99
Sc: 0.2500 0.2500 0.7500 x4  4 Li 2.99, 4 Tc 2.99
Tc: 0.0000 0.0000 0.5000 x4  4 Pr 2.99, 4 Sc 2.99

Entry 16:
Entry from the Alexandria database: an optimized crystal structure of La12Bi3N5 (GGA-PBE).

Values from the calculation:
Total magnetization   3.9 μB per formula unit
DOS at the Fermi energy   16.5 states/eV/f.u.
Final energy   -6.548 eV/atom
Formation energy without anion corrections   -0.9276 eV/atom

abc: 16.6843 16.6843 16.6843
angles: 90.00 90.00 90.00
With the nearest neighbours (Å) after each atom.
Space group Ia-3d (No. 230)
Inequivalent atoms, fractional coordinates:
La: 0.0398 0.0475 0.6469 x96  1 N 2.37
Bi: 0.0000 0.2500 0.1250 x24  8 La 3.34-3.46
N: 0.0000 0.0000 0.0000 x16  6 La 2.66
N: 0.0000 0.2500 0.3750 x24  4 La 2.37

Entry 17:
Entry from the Alexandria database: an optimized crystal structure of NaTlAgBr4 (GGA-PBE).

Values from the calculation:
Total magnetization   0.0 μB per formula unit
DOS at the Fermi energy   1.8 states/eV/f.u.
Final energy   -2.612 eV/atom
Formation energy without anion corrections   -0.7227 eV/atom

abc: 7.8114 6.1685 9.5894
angles: 90.00 105.71 90.00
With the nearest neighbours (Å) after each atom.
Space group P2_1/m (No. 11)
Inequivalent atoms, fractional coordinates:
Na: 0.2060 0.2500 0.4133 x2  6 Br 3.01-3.33
Tl: 0.2238 0.2500 0.9399 x2  4 Br 3.26-3.32
Ag: 0.2429 0.7500 0.6665 x2  4 Br 2.65-2.70
Br: 0.0421 0.7500 0.3945 x2  1 Ag 2.65
Br: 0.0709 0.7500 0.8754 x2  1 Ag 2.70, 1 Na 3.02
Br: 0.4737 0.5122 0.2769 x4  1 Ag 2.68, 1 Br 2.93

Entry 18:
Entry from the Alexandria database: an optimized crystal structure of GdGaHgPt (GGA-PBE).

Values from the calculation:
Total magnetization   7.1 μB per formula unit
DOS at the Fermi energy   2.1 states/eV/f.u.
Final energy   -6.437 eV/atom
DFT formation energy   -574 meV per atom

abc: 6.9355 6.9355 6.9355
angles: 90.00 90.00 90.00
With the nearest neighbours (Å) after each atom.
Space group F-43m (No. 216)
Inequivalent atoms, fractional coordinates:
Gd: 0.0000 0.0000 0.0000 x4  4 Hg 3.00, 4 Pt 3.00
Ga: 0.0000 0.0000 0.5000 x4  4 Pt 3.00, 4 Hg 3.00
Hg: 0.2500 0.2500 0.2500 x4  4 Ga 3.00, 4 Gd 3.00
Pt: 0.2500 0.2500 0.7500 x4  4 Gd 3.00, 4 Ga 3.00

Entry 19:
Entry from the Alexandria database: an optimized crystal structure of RbLa2MnTl (GGA-PBE).

Values from the calculation:
Total magnetization   1.1 μB per formula unit
DOS at the Fermi energy   4.6 states/eV/f.u.
Final energy   -4.029 eV/atom
DFT formation energy   443 meV per atom

abc: 5.2800 5.2800 6.2704
angles: 90.00 90.00 90.00
With the nearest neighbours (Å) after each atom.
Space group P4/mmm (No. 123)
Inequivalent atoms, fractional coordinates:
Rb: 0.0000 0.0000 0.0000 x1  2 Mn 3.14
La: 0.0000 0.5000 0.5000 x2  2 Mn 2.64
Mn: 0.0000 0.0000 0.5000 x1  4 La 2.64
Tl: 0.5000 0.5000 0.0000 x1  4 Rb 3.73, 8 La 4.10

Entry 20:
Entry from the Alexandria database: an optimized crystal structure of Ce2HoPaAs4 (GGA-PBE).

Values from the calculation:
Total magnetization   2.0 μB per formula unit
DOS at the Fermi energy   14.6 states/eV/f.u.
Final energy   -6.925 eV/atom
DFT formation energy   -1357 meV per atom

abc: 7.1796 4.1573 7.2202
angles: 90.00 109.44 90.00
With the nearest neighbours (Å) after each atom.
Space group P2/m (No. 10)
Inequivalent atoms, fractional coordinates:
Ce: 0.0000 0.0000 0.0000 x1  6 As 2.98-2.99
Ce: 0.5000 0.5000 0.0000 x1  6 As 2.97
Ho: 0.0000 0.5000 0.5000 x1  6 As 2.90-2.91
Pa: 0.5000 0.0000 0.5000 x1  6 As 2.89-2.90
As: 0.2493 0.0000 0.7413 x2  1 Pa 2.89, 2 Ho 2.91, 3 Ce 2.97-2.99
As: 0.2538 0.5000 0.2597 x2  2 Pa 2.90, 1 Ho 2.90, 3 Ce 2.97-2.98

Entry 21:
Entry from the Alexandria database: an optimized crystal structure of La2Ni3P4Rh (GGA-PBE).

Values from the calculation:
Total magnetization   0.0 μB per formula unit
DOS at the Fermi energy   6.1 states/eV/f.u.
Final energy   -6.644 eV/atom
DFT formation energy   -1025 meV per atom

abc: 4.1242 4.1242 9.3900
angles: 90.00 90.00 90.00
With the nearest neighbours (Å) after each atom.
Space group P-4m2 (No. 115)
Inequivalent atoms, fractional coordinates:
La: 0.0000 0.5000 0.2422 x2  8 P 3.07-3.14, 7 Ni 3.17-3.31, 2 Rh 3.18
Ni: 0.0000 0.5000 0.8894 x2  5 P 2.31-2.39
Ni: 0.5000 0.5000 0.5000 x1  4 P 2.42
P: 0.0000 0.0000 0.0000 x1  4 Ni 2.31
P: 0.0000 0.5000 0.6349 x2  3 Ni 2.39-2.42, 2 Rh 2.42
P: 0.5000 0.5000 0.0000 x1  4 Ni 2.31
Rh: 0.0000 0.0000 0.5000 x1  4 P 2.42